Record 1
Compound: CaTl8Bi2
Source: Alexandria
Functional: PBE-GGA
Structure: relaxed

Geometry as extended XYZ:
```
11
Lattice="6.580 -5.371 0.000 6.580 5.371 0.000 -1.079 0.000 5.576" Properties=species:S:1:pos:R:3 pbc="T T T"
Ca 0.000 0.000 0.000
Tl 5.336 2.457 1.172
Tl 3.378 0.000 0.659
Tl 6.745 2.457 4.404
Tl 4.560 0.000 3.795
Tl 7.521 0.000 1.781
Tl 5.336 -2.457 1.172
Tl 8.703 0.000 4.917
Tl 6.745 -2.457 4.404
Bi 1.089 0.000 3.118
Bi 10.992 0.000 2.458
```

Computed properties:
For the total magnetization, the calculation gives 0.00 μB per formula unit. The final energy is -0.1915 Ry per atom. As for the energy of formation from the pure elements: 0 kJ/mol of atoms.

---

Record 2
Compound: Cr2TcC
Source: Alexandria
Functional: PBE-GGA
Structure: relaxed

Geometry as extended XYZ:
```
12
Lattice="2.809 0.000 0.000 -1.404 2.433 0.000 0.000 0.000 20.452" Properties=species:S:1:pos:R:3 pbc="T T T"
Cr 0.000 0.000 2.317
Cr 0.000 0.000 18.135
Cr 0.000 1.622 11.318
Cr 0.000 1.622 15.952
Cr 1.404 0.811 4.500
Cr 1.404 0.811 9.135
Tc 0.000 0.000 0.000
Tc 0.000 1.622 13.635
Tc 1.404 0.811 6.817
C 0.000 0.000 10.226
C 0.000 1.622 3.409
C 1.404 0.811 17.044
```

Computed properties:
For the total magnetization, the calculation gives 0.00 μB per formula unit. The final energy is -0.6918 Ry per atom. As for the energy of formation from the pure elements: 29 kJ/mol of atoms.

---

Record 3
Compound: CoAs2Rh
Source: Alexandria
Functional: PBE-GGA
Structure: relaxed

Geometry as extended XYZ:
```
12
Lattice="2.921 0.000 0.000 -1.461 2.530 0.000 0.000 0.000 28.295" Properties=species:S:1:pos:R:3 pbc="T T T"
Co 0.000 0.000 0.000
Co 0.000 1.687 18.864
Co 1.461 0.843 9.432
As 0.000 0.000 14.892
As 0.000 0.000 20.484
As 0.000 1.687 5.460
As 0.000 1.687 11.052
As 1.461 0.843 1.621
As 1.461 0.843 24.323
Rh 0.000 0.000 7.296
Rh 0.000 1.687 26.159
Rh 1.461 0.843 16.728
```

Computed properties:
For the total magnetization, the calculation gives 0.47 μB per formula unit. The calculation puts the distance to the lowest polymorph of the same formula at 367 meV per atom. The final energy is -0.4341 Ry per atom. As for the energy of formation from the pure elements: 3 kJ/mol of atoms.

---

Record 4
Compound: SiTe2SI
Source: Alexandria
Functional: PBE-GGA
Structure: relaxed

Geometry as extended XYZ:
```
5
Lattice="5.340 0.000 0.000 0.000 5.340 0.000 0.000 0.000 5.249" Properties=species:S:1:pos:R:3 pbc="T T T"
Si 0.000 0.000 0.000
Te 0.000 2.670 0.000
Te 2.670 0.000 0.000
S 2.670 2.670 2.624
I 0.000 0.000 2.624
```

Computed properties:
For the total magnetization, the calculation gives 0.71 μB per formula unit. The calculation puts the distance to the lowest polymorph of the same formula at 0 meV per atom. The final energy is -0.1994 Ry per atom. Its formation energy without anion corrections is 17.621 kcal/mol of atoms.

---

Record 5
Compound: Ho2AlCu
Source: Alexandria
Functional: PBE-GGA
Structure: relaxed

Geometry as extended XYZ:
```
4
Lattice="3.455 0.000 0.000 0.000 3.455 0.000 0.000 0.000 7.347" Properties=species:S:1:pos:R:3 pbc="T T T"
Ho 0.000 0.000 1.730
Ho 0.000 0.000 5.617
Al 1.727 1.727 3.673
Cu 1.727 1.727 0.000
```

Computed properties:
For the total magnetization, the calculation gives 0.00 μB per formula unit. The final energy is -0.3365 Ry per atom. As for the energy of formation from the pure elements: -32 kJ/mol of atoms.

---

Record 6
Compound: NbCd
Source: Alexandria
Functional: PBE-GGA
Structure: relaxed

Geometry as extended XYZ:
```
12
Lattice="7.615 0.000 0.000 0.000 7.615 0.000 0.000 0.000 7.615" Properties=species:S:1:pos:R:3 pbc="T T T"
Nb 0.000 1.904 3.808
Nb 0.000 5.712 3.808
Nb 1.904 3.808 0.000
Nb 3.808 0.000 1.904
Nb 3.808 0.000 5.712
Nb 5.712 3.808 0.000
Cd 0.000 3.808 1.904
Cd 0.000 3.808 5.712
Cd 1.904 0.000 3.808
Cd 3.808 1.904 0.000
Cd 3.808 5.712 0.000
Cd 5.712 0.000 3.808
```

Computed properties:
For the total magnetization, the calculation gives 0.00 μB per formula unit. The final energy is -0.2413 Ry per atom. As for the energy of formation from the pure elements: 213 kJ/mol of atoms.

---

Record 7
Compound: Sm3InNi2
Source: Alexandria
Functional: PBE-GGA
Structure: relaxed

Geometry as extended XYZ:
```
12
Lattice="4.313 0.000 0.000 0.000 9.326 0.000 0.000 0.000 7.213" Properties=species:S:1:pos:R:3 pbc="T T T"
Sm 0.000 0.527 0.000
Sm 0.000 8.799 3.607
Sm 2.156 2.379 2.807
Sm 2.156 3.135 6.237
Sm 2.156 6.191 2.630
Sm 2.156 6.947 6.414
In 0.000 4.549 0.922
In 0.000 4.777 4.529
Ni 0.000 1.994 4.706
Ni 0.000 7.332 1.099
Ni 2.156 0.475 5.171
Ni 2.156 8.851 1.564
```

Computed properties:
For the total magnetization, the calculation gives 0.00 μB per formula unit. The final energy is -0.3747 Ry per atom. As for the energy of formation from the pure elements: -34 kJ/mol of atoms.

---

Record 8
Compound: AlW2S
Source: Alexandria
Functional: PBE-GGA
Structure: relaxed

Geometry as extended XYZ:
```
16
Lattice="6.178 0.000 0.000 0.000 6.178 0.000 0.000 0.000 6.178" Properties=species:S:1:pos:R:3 pbc="T T T"
Al 0.000 0.000 0.000
Al 0.000 3.089 3.089
Al 3.089 0.000 3.089
Al 3.089 3.089 0.000
W 1.545 1.545 1.545
W 1.545 1.545 4.634
W 1.545 4.634 1.545
W 1.545 4.634 4.634
W 4.634 1.545 1.545
W 4.634 1.545 4.634
W 4.634 4.634 1.545
W 4.634 4.634 4.634
S 0.000 0.000 3.089
S 0.000 3.089 0.000
S 3.089 0.000 0.000
S 3.089 3.089 3.089
```

Computed properties:
For the total magnetization, the calculation gives 0.00 μB per formula unit. The final energy is -0.5841 Ry per atom. Its formation energy without anion corrections is 11.447 kcal/mol of atoms.